A plane-wave DFT calculation with PBE was carried out for Sm8PSe4S3 after structural relaxation.

Computed properties:
Its uncorrected formation energy is -1.90 eV/atom. For the magnetization, the calculation gives 0.00 μB per cell.

a b c (Å): 8.273 8.273 8.273
angles (deg): 59.15 59.15 59.15
Sites, in units of the cell vectors:
Sm 0.242 0.242 0.242
Sm 0.245 0.740 0.740
Sm 0.260 0.260 0.755
Sm 0.260 0.755 0.260
Sm 0.740 0.245 0.740
Sm 0.740 0.740 0.245
Sm 0.755 0.260 0.260
Sm 0.758 0.758 0.758
P 0.500 0.500 0.500
Se 0.000 0.000 0.000
Se 0.000 0.500 0.500
Se 0.500 0.000 0.500
Se 0.500 0.500 0.000
S 0.000 0.000 0.500
S 0.000 0.500 0.000
S 0.500 0.000 0.000

---

A plane-wave DFT calculation with PBE was carried out for ReAsRh after structural relaxation.

Computed properties:
The value obtained for the formation energy is 294 meV per atom. The polymorph energy (0 for the lowest one) comes out at 233 meV/atom. For the magnetization, the calculation gives 0.00 μB per cell.

a b c (Å): 4.633 4.633 4.633
angles (deg): 143.97 128.69 64.29
Sites, in units of the cell vectors:
Re 0.000 0.000 0.000
As 0.326 0.326 0.000
Rh 0.650 0.650 0.000

---

A plane-wave DFT calculation with PBE was carried out for Ho5InHg4 after structural relaxation.

Computed properties:
The value obtained for the formation energy is -476 meV per atom. For the magnetization, the calculation gives 0.00 μB per cell.

a b c (Å): 3.713 3.713 18.582
angles (deg): 90.00 90.00 90.00
Sites, in units of the cell vectors:
Ho 0.000 0.000 0.000
Ho 0.000 0.000 0.199
Ho 0.000 0.000 0.396
Ho 0.000 0.000 0.604
Ho 0.000 0.000 0.801
In 0.500 0.500 0.500
Hg 0.500 0.500 0.100
Hg 0.500 0.500 0.298
Hg 0.500 0.500 0.702
Hg 0.500 0.500 0.900

---

- Which value of magnetization does entry 3 give?
  0.00 μB per cell